{
  "formula": "PuScCu",
  "functional": "PBE",
  "state": "optimized geometry",
  "e_above_lowest_polymorph_mev_per_atom": 0,
  "sg": "No. 216",
  "rho_g_cm3": 8.4,
  "magmom_total_mub_per_cell": 6.421,
  "formation_enthalpy_0k_ev_per_atom": 0.25,
  "e_tot_ev_per_cell": -23.43,
  "cell": [[0.000, 3.272, 3.272], [3.272, 0.000, 3.272], [3.272, 3.272, 0.000]],
  "species": ["Pu", "Sc", "Cu"],
  "frac_coords": [[0.000, 0.000, 0.000], [0.500, 0.500, 0.500], [0.250, 0.250, 0.250]]
}

{
  "formula": "Sm2Ho2CBr3Cl2",
  "functional": "PBE",
  "state": "optimized geometry",
  "e_above_lowest_polymorph_mev_per_atom": 0,
  "sg": "No. 12",
  "rho_g_cm3": 6.0,
  "magmom_total_mub_per_cell": 0.333,
  "e_tot_ev_per_cell": -51.90,
  "cell": [[8.868, -1.897, 0.000], [8.868, 1.897, 0.000], [-1.949, 0.000, 7.810]],
  "species": ["Sm", "Sm", "Ho", "Ho", "C", "Br", "Br", "Br", "Cl", "Cl"],
  "frac_coords": [[0.143, 0.143, 0.082], [0.857, 0.857, 0.918], [0.500, 0.500, 0.202], [0.500, 0.500, 0.798], [0.000, 0.000, 0.000], [0.000, 0.000, 0.500], [0.332, 0.332, 0.183], [0.668, 0.668, 0.817], [0.344, 0.344, 0.658], [0.656, 0.656, 0.342]]
}

{
  "formula": "Gd2Ge2O7",
  "functional": "PBE",
  "state": "optimized geometry",
  "sg": "No. 2",
  "rho_g_cm3": 6.6,
  "magmom_total_mub_per_cell": 0.002,
  "e_tot_ev_per_cell": -326.35,
  "cell": [[6.823, 0.000, 0.000], [-0.245, 6.829, 0.000], [-0.366, -0.881, 12.278]],
  "species": ["Gd", "Gd", "Gd", "Gd", "Gd", "Gd", "Gd", "Gd", "Ge", "Ge", "Ge", "Ge", "Ge", "Ge", "Ge", "Ge", "O", "O", "O", "O", "O", "O", "O", "O", "O", "O", "O", "O", "O", "O", "O", "O", "O", "O", "O", "O", "O", "O", "O", "O", "O", "O", "O", "O"],
  "frac_coords": [[0.046, 0.330, 0.114], [0.114, 0.082, 0.361], [0.316, 0.830, 0.116], [0.372, 0.231, 0.629], [0.628, 0.769, 0.371], [0.684, 0.170, 0.884], [0.886, 0.918, 0.639], [0.954, 0.670, 0.886], [0.142, 0.615, 0.381], [0.166, 0.148, 0.885], [0.384, 0.735, 0.603], [0.489, 0.670, 0.836], [0.511, 0.330, 0.164], [0.616, 0.265, 0.397], [0.834, 0.852, 0.115], [0.858, 0.385, 0.619], [0.000, 0.339, 0.917], [0.000, 0.661, 0.083], [0.007, 0.018, 0.186], [0.041, 0.226, 0.572], [0.066, 0.398, 0.307], [0.223, 0.922, 0.622], [0.242, 0.097, 0.016], [0.290, 0.784, 0.312], [0.293, 0.723, 0.920], [0.300, 0.557, 0.493], [0.343, 0.491, 0.117], [0.368, 0.212, 0.811], [0.387, 0.557, 0.703], [0.389, 0.132, 0.222], [0.404, 0.158, 0.449], [0.596, 0.842, 0.551], [0.611, 0.868, 0.778], [0.613, 0.443, 0.297], [0.632, 0.788, 0.189], [0.657, 0.509, 0.883], [0.700, 0.443, 0.507], [0.707, 0.277, 0.080], [0.710, 0.216, 0.688], [0.758, 0.903, 0.984], [0.777, 0.078, 0.378], [0.934, 0.602, 0.693], [0.959, 0.774, 0.428], [0.993, 0.982, 0.814]]
}

{
  "formula": "LaGdI2O2",
  "functional": "PBE",
  "state": "optimized geometry",
  "sg": "No. 99",
  "rho_g_cm3": 6.4,
  "magmom_total_mub_per_cell": 0.004,
  "e_tot_ev_per_cell": -39.07,
  "cell": [[4.050, 0.000, 0.000], [0.000, 4.050, 0.000], [0.000, 0.000, 9.271]],
  "species": ["La", "Gd", "I", "I", "O", "O"],
  "frac_coords": [[0.000, 0.000, 0.000], [0.500, 0.500, 0.250], [0.000, 0.000, 0.453], [0.500, 0.500, 0.793], [0.000, 0.500, 0.133], [0.500, 0.000, 0.133]]
}

{
  "formula": "Ni7W8",
  "functional": "PBE",
  "state": "optimized geometry",
  "e_above_lowest_polymorph_mev_per_atom": 0,
  "sg": "No. 136",
  "rho_g_cm3": 15.1,
  "magmom_total_mub_per_cell": 0.064,
  "formation_enthalpy_0k_ev_per_atom": 0.14,
  "e_tot_ev_per_cell": -281.22,
  "cell": [[9.135, 0.000, 0.000], [0.000, 9.135, 0.000], [0.000, 0.000, 4.945]],
  "species": ["Ni", "Ni", "Ni", "Ni", "Ni", "Ni", "Ni", "Ni", "Ni", "Ni", "Ni", "Ni", "Ni", "Ni", "W", "W", "W", "W", "W", "W", "W", "W", "W", "W", "W", "W", "W", "W", "W", "W"],
  "frac_coords": [[0.000, 0.000, 0.000], [0.068, 0.253, 0.000], [0.096, 0.096, 0.500], [0.247, 0.568, 0.500], [0.253, 0.068, 0.000], [0.404, 0.596, 0.000], [0.432, 0.753, 0.500], [0.500, 0.500, 0.500], [0.568, 0.247, 0.500], [0.596, 0.404, 0.000], [0.747, 0.932, 0.000], [0.753, 0.432, 0.500], [0.904, 0.904, 0.500], [0.932, 0.747, 0.000], [0.038, 0.365, 0.500], [0.135, 0.538, 0.000], [0.183, 0.817, 0.249], [0.183, 0.817, 0.751], [0.317, 0.317, 0.251], [0.317, 0.317, 0.749], [0.365, 0.038, 0.500], [0.462, 0.865, 0.000], [0.538, 0.135, 0.000], [0.635, 0.962, 0.500], [0.683, 0.683, 0.251], [0.683, 0.683, 0.749], [0.817, 0.183, 0.249], [0.817, 0.183, 0.751], [0.865, 0.462, 0.000], [0.962, 0.635, 0.500]]
}

{
  "formula": "Cs3HoI6",
  "functional": "PBE",
  "state": "optimized geometry",
  "sg": "No. 14",
  "rho_g_cm3": 4.0,
  "magmom_total_mub_per_cell": 0.003,
  "e_tot_ev_per_cell": -63.12,
  "cell": [[9.001, 0.000, 0.000], [0.000, 9.591, 0.000], [-8.704, 0.000, 12.818]],
  "species": ["Cs", "Cs", "Cs", "Cs", "Cs", "Cs", "Ho", "Ho", "I", "I", "I", "I", "I", "I", "I", "I", "I", "I", "I", "I"],
  "frac_coords": [[0.000, 0.000, 0.000], [0.000, 0.500, 0.500], [0.213, 0.076, 0.744], [0.213, 0.424, 0.244], [0.787, 0.576, 0.756], [0.787, 0.924, 0.256], [0.500, 0.000, 0.500], [0.500, 0.500, 0.000], [0.178, 0.173, 0.450], [0.178, 0.327, 0.950], [0.270, 0.737, 0.430], [0.270, 0.763, 0.930], [0.401, 0.047, 0.280], [0.401, 0.453, 0.780], [0.599, 0.547, 0.220], [0.599, 0.953, 0.720], [0.730, 0.237, 0.070], [0.730, 0.263, 0.570], [0.822, 0.673, 0.050], [0.822, 0.827, 0.550]]
}

Repeat the sixth record exactly.
{
  "formula": "Cs3HoI6",
  "functional": "PBE",
  "state": "optimized geometry",
  "sg": "No. 14",
  "rho_g_cm3": 4.0,
  "magmom_total_mub_per_cell": 0.003,
  "e_tot_ev_per_cell": -63.12,
  "cell": [[9.001, 0.000, 0.000], [0.000, 9.591, 0.000], [-8.704, 0.000, 12.818]],
  "species": ["Cs", "Cs", "Cs", "Cs", "Cs", "Cs", "Ho", "Ho", "I", "I", "I", "I", "I", "I", "I", "I", "I", "I", "I", "I"],
  "frac_coords": [[0.000, 0.000, 0.000], [0.000, 0.500, 0.500], [0.213, 0.076, 0.744], [0.213, 0.424, 0.244], [0.787, 0.576, 0.756], [0.787, 0.924, 0.256], [0.500, 0.000, 0.500], [0.500, 0.500, 0.000], [0.178, 0.173, 0.450], [0.178, 0.327, 0.950], [0.270, 0.737, 0.430], [0.270, 0.763, 0.930], [0.401, 0.047, 0.280], [0.401, 0.453, 0.780], [0.599, 0.547, 0.220], [0.599, 0.953, 0.720], [0.730, 0.237, 0.070], [0.730, 0.263, 0.570], [0.822, 0.673, 0.050], [0.822, 0.827, 0.550]]
}